This record from the Alexandria database describes a relaxed TlPbW2 crystal. The functional is PBE-GGA.

Computed properties:
DFT formation energy ... 1.2603 eV per atom
Crystal system ... tetragonal
V ... 158.6 Å³/cell
Fermi-level density of states ... 5.57 states/eV per cell
DFT total energy ... -53.9 eV for the cell shown

CIF file:
```
data_TlPbW2
_space_group_name_H-M_alt 'I -4 m 2'
_space_group_IT_number 119
_space_group_name_Hall 'I -4 -2'
_cell_length_a 4.2988
_cell_length_b 4.2988
_cell_length_c 8.5840
_cell_angle_alpha 90.00
_cell_angle_beta 90.00
_cell_angle_gamma 90.00
loop_
_atom_site_label
_atom_site_type_symbol
_atom_site_fract_x
_atom_site_fract_y
_atom_site_fract_z
Tl1 Tl 0.0000 0.0000 0.0000
Pb1 Pb 0.0000 0.5000 0.2500
W1 W 0.0000 0.0000 0.5000
W2 W 0.0000 0.5000 0.7500
```



This record from the Alexandria database describes a relaxed TlPbW2 crystal. The functional is PBE-GGA.

Computed properties:
DFT formation energy ... 1.3458 eV per atom
Crystal system ... tetragonal
V ... 77.8 Å³/cell
Fermi-level density of states ... 2.78 states/eV per cell
DFT total energy ... -26.6 eV for the cell shown

CIF file:
```
data_TlPbW2
_space_group_name_H-M_alt 'P 4/m m m'
_space_group_IT_number 123
_space_group_name_Hall '-P 4 2'
_cell_length_a 3.3900
_cell_length_b 3.3900
_cell_length_c 6.7685
_cell_angle_alpha 90.00
_cell_angle_beta 90.00
_cell_angle_gamma 90.00
loop_
_atom_site_label
_atom_site_type_symbol
_atom_site_fract_x
_atom_site_fract_y
_atom_site_fract_z
Tl1 Tl 0.0000 0.0000 0.0000
Pb1 Pb 0.0000 0.0000 0.5000
W1 W 0.5000 0.5000 0.2420
```



Q: Which of these has the highest V?
A: number 1



Q: What is the V in the second record?
A: 77.8 Å³/cell



Q: The lowest V belongs to which entry?
A: number 2